1.
# KTlCu2

A relaxed KTlCu2 crystal (PBE, the Alexandria database).

For the size of the total moment, the calculation gives 0.0 μB/cell. The calculation puts the formation energy at 0.153 eV/atom. The energy above the most stable polymorph in this dataset is 5.7 meV/atom. As for the total energy: -2.762 eV/atom.

The structure belongs to space group Cm (No. 8); the cell edges are 7.645, 4.412 and 6.796 Å and the angles 90.00°, 112.22° and 90.00°. The inequivalent atoms are K at (0.000, 0.000, 0.000), Tl at (0.192, 0.000, 0.577), Cu at (0.300, 0.500, 0.400) and Cu at (0.467, 0.000, 0.404).

2.
# KTl2Cu

A relaxed KTl2Cu crystal (PBE, the Alexandria database).

For the size of the total moment, the calculation gives 0.0 μB/cell. The calculation puts the formation energy at 0.080 eV/atom. As for the total energy: -2.402 eV/atom.

The structure belongs to space group C2/m (No. 12); the cell edges are 7.285, 4.267 and 8.446 Å and the angles 90.00°, 107.30° and 90.00°. The inequivalent atoms are K at (0.000, 0.000, 0.000), Tl at (0.222, 0.000, 0.667) and Cu at (0.000, 0.500, 0.500).

3.
# K2TlCu

A relaxed K2TlCu crystal (PBE, the Alexandria database).

For the size of the total moment, the calculation gives 0.0 μB/cell. The calculation puts the formation energy at 0.130 eV/atom. The energy above the most stable polymorph in this dataset is 28.6 meV/atom. As for the total energy: -2.034 eV/atom.

The structure belongs to space group Imm2 (No. 44); the cell edges are 4.160, 6.050 and 11.466 Å and the angles 90.00°, 90.00° and 90.00°. The inequivalent atoms are K at (0.000, 0.000, 0.000), K at (0.000, 0.500, 0.193), Tl at (0.000, 0.500, 0.790) and Cu at (0.000, 0.000, 0.434).

4.
# K2TlCu

A relaxed K2TlCu crystal (PBE, the Alexandria database).

For the size of the total moment, the calculation gives 0.0 μB/cell. The calculation puts the formation energy at 0.236 eV/atom. The energy above the most stable polymorph in this dataset is 134.6 meV/atom. As for the total energy: -1.928 eV/atom.

The structure belongs to space group P4/mmm (No. 123); the cell edges are 3.870, 3.870 and 9.492 Å and the angles 90.00°, 90.00° and 90.00°. The inequivalent atoms are K at (0.000, 0.000, 0.215), Tl at (0.500, 0.500, 0.500) and Cu at (0.500, 0.500, 0.000).

5.
# KTl2Cu

A relaxed KTl2Cu crystal (PBE, the Alexandria database).

For the size of the total moment, the calculation gives 0.0 μB/cell. The calculation puts the formation energy at 0.145 eV/atom. As for the total energy: -2.336 eV/atom.

The structure belongs to space group P4mm (No. 99); the cell edges are 3.794, 3.794 and 8.377 Å and the angles 90.00°, 90.00° and 90.00°. The inequivalent atoms are K at (0.000, 0.000, 0.000), Tl at (0.000, 0.000, 0.586), Tl at (0.500, 0.500, 0.317) and Cu at (0.500, 0.500, 0.669).

6.
# K2TlCu

A relaxed K2TlCu crystal (PBE, the Alexandria database).

For the size of the total moment, the calculation gives 0.0 μB/cell. The calculation puts the formation energy at 0.279 eV/atom. The energy above the most stable polymorph in this dataset is 177.4 meV/atom. As for the total energy: -1.886 eV/atom.

The structure belongs to space group I-4m2 (No. 119); the cell edges are 5.225, 5.225 and 9.629 Å and the angles 90.00°, 90.00° and 90.00°. The inequivalent atoms are K at (0.000, 0.000, 0.000), K at (0.000, 0.500, 0.250), Tl at (0.000, 0.500, 0.750) and Cu at (0.000, 0.000, 0.500).

7.
# K2TlCu

A relaxed K2TlCu crystal (PBE, the Alexandria database).

For the size of the total moment, the calculation gives 0.0 μB/cell. The calculation puts the formation energy at 0.101 eV/atom. The energy above the most stable polymorph in this dataset is 0.0 meV/atom. As for the total energy: -2.063 eV/atom.

The structure belongs to space group Cm (No. 8); the cell edges are 8.042, 4.785 and 9.270 Å and the angles 90.00°, 107.55° and 90.00°. The inequivalent atoms are K at (0.000, 0.000, 0.000), K at (0.187, 0.000, 0.540), Tl at (0.259, 0.500, 0.270) and Cu at (0.421, 0.000, 0.270).

8.
# KTlCu2

A relaxed KTlCu2 crystal (PBE, the Alexandria database).

For the size of the total moment, the calculation gives 0.0 μB/cell. The calculation puts the formation energy at 0.464 eV/atom. The energy above the most stable polymorph in this dataset is 317.0 meV/atom. As for the total energy: -2.450 eV/atom.

The structure belongs to space group Fm-3m (No. 225); the cell edges are 7.125, 7.125 and 7.125 Å and the angles 90.00°, 90.00° and 90.00°. The inequivalent atoms are K at (0.000, 0.000, 0.000), Tl at (0.000, 0.000, 0.500) and Cu at (0.250, 0.250, 0.250).

9.
# KTlCu

A relaxed KTlCu crystal (PBE, the Alexandria database).

For the size of the total moment, the calculation gives 0.0 μB/cell. The calculation puts the formation energy at 0.642 eV/atom. The energy above the most stable polymorph in this dataset is 564.7 meV/atom. As for the total energy: -1.878 eV/atom.

The structure belongs to space group F-43m (No. 216); the cell edges are 7.609, 7.609 and 7.609 Å and the angles 90.00°, 90.00° and 90.00°. The inequivalent atoms are K at (0.000, 0.000, 0.000), Tl at (0.250, 0.250, 0.250) and Cu at (0.250, 0.250, 0.750).

10.
# KTlCu2

A relaxed KTlCu2 crystal (PBE, the Alexandria database).

For the size of the total moment, the calculation gives 0.0 μB/cell. The calculation puts the formation energy at 0.366 eV/atom. The energy above the most stable polymorph in this dataset is 219.0 meV/atom. As for the total energy: -2.548 eV/atom.

The structure belongs to space group Pmmm (No. 47); the cell edges are 3.690, 3.745 and 7.282 Å and the angles 90.00°, 90.00° and 90.00°. The inequivalent atoms are K at (0.000, 0.000, 0.000), Tl at (0.000, 0.000, 0.500) and Cu at (0.500, 0.500, 0.331).

11.
# KTl2Cu

A relaxed KTl2Cu crystal (PBE, the Alexandria database).

For the size of the total moment, the calculation gives 0.0 μB/cell. The calculation puts the formation energy at 0.225 eV/atom. As for the total energy: -2.257 eV/atom.

The structure belongs to space group I-42d (No. 122); the cell edges are 5.950, 5.950 and 17.292 Å and the angles 90.00°, 90.00° and 90.00°. The inequivalent atoms are K at (0.000, 0.000, 0.000), Tl at (0.075, 0.250, 0.625) and Cu at (0.000, 0.000, 0.500).

12.
# KTlCu2

A relaxed KTlCu2 crystal (PBE, the Alexandria database).

For the size of the total moment, the calculation gives 0.0 μB/cell. The calculation puts the formation energy at 0.336 eV/atom. The energy above the most stable polymorph in this dataset is 189.6 meV/atom. As for the total energy: -2.578 eV/atom.

The structure belongs to space group Imm2 (No. 44); the cell edges are 3.260, 5.442 and 10.444 Å and the angles 90.00°, 90.00° and 90.00°. The inequivalent atoms are K at (0.000, 0.000, 0.000), Tl at (0.000, 0.500, 0.799), Cu at (0.000, 0.000, 0.529) and Cu at (0.000, 0.500, 0.203).

13.
# KTlCu2

A relaxed KTlCu2 crystal (PBE, the Alexandria database).

For the size of the total moment, the calculation gives 0.0 μB/cell. The calculation puts the formation energy at 0.305 eV/atom. The energy above the most stable polymorph in this dataset is 158.3 meV/atom. As for the total energy: -2.609 eV/atom.

The structure belongs to space group I4_1/amd (No. 141, origin choice 2); the cell edges are 5.040, 5.040 and 18.462 Å and the angles 90.00°, 90.00° and 90.00°. The inequivalent atoms are K at (0.000, 0.250, 0.375), Tl at (0.000, 0.250, 0.875) and Cu at (0.000, 0.000, 0.000).

14.
# KTlCu

A relaxed KTlCu crystal (PBE, the Alexandria database).

For the size of the total moment, the calculation gives 0.0 μB/cell. The calculation puts the formation energy at 0.173 eV/atom. The energy above the most stable polymorph in this dataset is 95.8 meV/atom. As for the total energy: -2.347 eV/atom.

The structure belongs to space group Imm2 (No. 44); the cell edges are 3.749, 3.760 and 12.358 Å and the angles 90.00°, 90.00° and 90.00°. The inequivalent atoms are K at (0.000, 0.000, 0.000), Tl at (0.000, 0.000, 0.282) and Cu at (0.000, 0.000, 0.713).

15.
# K2Tl2Cu

A relaxed K2Tl2Cu crystal (PBE, the Alexandria database).

For the size of the total moment, the calculation gives 0.0 μB/cell. The calculation puts the formation energy at 0.112 eV/atom. As for the total energy: -2.093 eV/atom.

The structure belongs to space group P4/mbm (No. 127); the cell edges are 7.392, 7.392 and 6.137 Å and the angles 90.00°, 90.00° and 90.00°. The inequivalent atoms are K at (0.179, 0.321, 0.000), Tl at (0.152, 0.652, 0.500) and Cu at (0.000, 0.000, 0.500).